Record 1
PBE Pm5Nd3Sn2, optimized geometry; energy of formation = -0.085 eV/atom
1.0
-3.007 -1.595 -5.630
7.129 1.091 -7.961
-0.265 -10.718 -0.667
Pm Nd Sn
10 6 4
Cartesian
4.054 -4.422 -8.601
0.235 -3.223 -4.979
0.129 -9.086 -9.028
3.622 -7.999 -9.280
1.177 -6.010 -8.537
2.681 -5.212 -5.722
5.126 -7.202 -6.464
-0.196 -6.800 -5.658
-1.268 -4.020 -7.794
3.729 -2.136 -5.231
2.718 -1.250 -8.786
1.140 -9.972 -5.473
3.787 -4.141 -12.382
0.071 -7.081 -1.877
-0.752 -0.399 -1.408
-2.255 -1.196 -4.223
5.884 -2.546 -10.110
-0.832 -11.668 -7.783
4.690 0.446 -6.476
-2.026 -8.676 -4.149

=====

Record 2
PBE LiPm2Pu, optimized geometry; energy of formation = 0.351 eV/atom; polymorph energy (0 for the lowest one) = 18.8 kJ per mole of atoms
1.0
-0.718 -3.221 0.827
1.500 -1.440 2.692
-8.782 2.284 8.266
Pu Pm Li
1 2 1
Cartesian
0.000 0.000 0.000
-6.326 1.242 6.340
-1.674 -3.619 5.445
-4.000 -1.188 5.892

=====

Record 3
PBE LaIrW, optimized geometry; energy of formation = 1.511 eV/atom; polymorph energy (0 for the lowest one) = 151.8 kJ per mole of atoms
1.0
4.564 0.000 0.000
2.282 3.952 0.000
2.282 1.317 3.726
Ir W La
1 1 1
Cartesian
4.564 2.635 1.863
0.000 0.000 0.000
6.845 3.952 2.795

=====

Record 4
PBE SrLi12Tl6, optimized geometry; energy of formation = -0.143 eV/atom
1.0
7.756 0.117 0.165
-1.809 7.543 0.165
-1.809 -2.330 7.176
Li Tl Sr
12 6 1
Cartesian
5.815 -0.243 3.753
5.815 3.623 1.008
2.069 -1.201 6.498
-1.677 1.707 6.498
1.938 5.330 4.504
2.069 6.531 1.008
1.938 2.496 6.517
-0.545 2.132 3.002
2.200 2.834 0.989
4.684 3.198 4.504
-1.677 5.573 3.753
2.200 0.000 3.002
-0.285 3.834 5.399
3.785 0.674 5.399
0.353 4.656 2.107
0.353 0.455 5.090
4.423 1.496 2.107
3.785 4.876 2.416
0.000 0.000 0.000

=====

Record 5
PBE CdCuBr2, optimized geometry; polymorph energy (0 for the lowest one) = 24.8 kJ per mole of atoms
1.0
7.645 0.047 0.000
5.581 5.225 0.000
-6.613 -2.636 2.787
Br Cu Cd
2 1 1
Cartesian
2.790 2.613 1.394
0.000 0.000 0.000
3.822 0.024 1.394
6.613 2.636 0.000

=====

Record 6
PBE Cs3SrEr2Te6, optimized geometry; calculated total energy = -3.98 eV per atom
1.0
7.999 -0.004 -0.002
-4.001 6.927 -0.002
-1.335 -2.312 8.981
Cs Er Te Sr
3 2 6 1
Cartesian
-2.754 4.665 4.489
1.331 2.305 4.489
5.417 -0.054 4.489
4.009 2.300 -0.002
-0.011 4.622 -0.002
-0.187 4.610 7.243
4.087 2.142 7.243
2.850 0.000 1.734
0.088 0.153 7.274
-1.424 2.469 1.734
2.574 4.457 1.703
0.000 0.000 0.000